{
  "formula": "Co2ReCl",
  "functional": "PBE",
  "state": "optimized geometry",
  "density_g_cm3": 8.166,
  "dos_ef_per_ev_atom": 1.02,
  "magmom_total_mub_per_fu": 1.63,
  "de_polymorph_mev_per_atom": 241.7,
  "lattice": [[3.953, -1.384, 0.000], [3.953, 1.384, 0.000], [-0.269, 0.000, 6.310]],
  "species": ["Co", "Co", "Re", "Cl"],
  "frac_coords": [[0.000, 0.000, 0.000], [0.719, 0.719, 0.171], [0.269, 0.269, 0.853], [0.726, 0.726, 0.530]]
}

***

{
  "formula": "Co2ReCl",
  "functional": "PBE",
  "state": "optimized geometry",
  "density_g_cm3": 10.188,
  "dos_ef_per_ev_atom": 1.12,
  "magmom_total_mub_per_fu": 1.31,
  "de_polymorph_mev_per_atom": 0.0,
  "lattice": [[2.741, 0.000, 0.000], [0.000, 2.808, 0.000], [0.000, 0.000, 7.191]],
  "species": ["Co", "Co", "Re", "Cl"],
  "frac_coords": [[0.000, 0.000, 0.230], [0.000, 0.000, 0.770], [0.500, 0.500, 0.000], [0.500, 0.000, 0.500]]
}

***

{
  "formula": "CoReSCl2",
  "functional": "PBE",
  "state": "optimized geometry",
  "density_g_cm3": 5.318,
  "dos_ef_per_ev_atom": 1.90,
  "magmom_total_mub_per_fu": 3.24,
  "de_polymorph_mev_per_atom": 0.0,
  "lattice": [[4.932, 0.000, 0.000], [0.000, 4.932, 0.000], [0.000, 0.000, 4.469]],
  "species": ["Co", "Re", "S", "Cl", "Cl"],
  "frac_coords": [[0.000, 0.000, 0.000], [0.500, 0.500, 0.500], [0.500, 0.500, 0.000], [0.000, 0.500, 0.500], [0.500, 0.000, 0.500]]
}

***

{
  "formula": "CoReS2Cl",
  "functional": "PBE",
  "state": "optimized geometry",
  "density_g_cm3": 5.438,
  "dos_ef_per_ev_atom": 1.45,
  "magmom_total_mub_per_fu": 2.40,
  "de_polymorph_mev_per_atom": 0.0,
  "lattice": [[4.538, 0.000, 0.000], [0.000, 4.538, 0.000], [0.000, 0.000, 5.112]],
  "species": ["Co", "Re", "S", "S", "Cl"],
  "frac_coords": [[0.000, 0.000, 0.000], [0.500, 0.500, 0.500], [0.000, 0.500, 0.500], [0.500, 0.000, 0.500], [0.500, 0.500, 0.000]]
}

***

{
  "formula": "CoReS2Cl",
  "functional": "PBE",
  "state": "optimized geometry",
  "density_g_cm3": 6.501,
  "dos_ef_per_ev_atom": 0.72,
  "magmom_total_mub_per_fu": 3.65,
  "de_polymorph_mev_per_atom": 272.2,
  "lattice": [[4.493, 0.000, 0.000], [0.000, 4.493, 0.000], [0.000, 0.000, 4.362]],
  "species": ["Co", "Re", "S", "S", "Cl"],
  "frac_coords": [[0.000, 0.000, 0.000], [0.500, 0.500, 0.500], [0.000, 0.500, 0.000], [0.500, 0.000, 0.000], [0.000, 0.000, 0.500]]
}

***

{
  "formula": "CoReSCl2",
  "functional": "PBE",
  "state": "optimized geometry",
  "density_g_cm3": 6.056,
  "dos_ef_per_ev_atom": 1.11,
  "magmom_total_mub_per_fu": 3.83,
  "de_polymorph_mev_per_atom": 156.7,
  "lattice": [[4.483, 0.000, 0.000], [0.000, 4.483, 0.000], [0.000, 0.000, 4.750]],
  "species": ["Co", "Re", "S", "Cl", "Cl"],
  "frac_coords": [[0.000, 0.000, 0.000], [0.500, 0.500, 0.500], [0.000, 0.000, 0.500], [0.000, 0.500, 0.000], [0.500, 0.000, 0.000]]
}

***

{
  "formula": "CoReSe2Cl",
  "functional": "PBE",
  "state": "optimized geometry",
  "density_g_cm3": 6.340,
  "dos_ef_per_ev_atom": 1.38,
  "magmom_total_mub_per_fu": 1.12,
  "lattice": [[4.936, 0.000, 0.000], [0.000, 4.936, 0.000], [0.000, 0.000, 4.715]],
  "species": ["Co", "Re", "Se", "Se", "Cl"],
  "frac_coords": [[0.000, 0.000, 0.000], [0.500, 0.500, 0.500], [0.000, 0.500, 0.500], [0.500, 0.000, 0.500], [0.500, 0.500, 0.000]]
}

***

{
  "formula": "Co2ReTeCl",
  "functional": "PBE",
  "state": "optimized geometry",
  "density_g_cm3": 9.455,
  "dos_ef_per_ev_atom": 1.20,
  "magmom_total_mub_per_fu": 3.28,
  "lattice": [[4.219, 0.000, 0.000], [0.000, 4.219, 0.000], [0.000, 0.000, 4.608]],
  "species": ["Co", "Co", "Re", "Te", "Cl"],
  "frac_coords": [[0.000, 0.500, 0.000], [0.500, 0.000, 0.000], [0.000, 0.000, 0.500], [0.500, 0.500, 0.500], [0.000, 0.000, 0.000]]
}

***

Number 1: raw formation energy 0.50 eV/atom. Number 2: raw formation energy 0.26 eV/atom. Number 3: raw formation energy 0.77 eV/atom. Number 4: raw formation energy 0.74 eV/atom. Number 5: raw formation energy 1.01 eV/atom. Number 6: raw formation energy 0.92 eV/atom. Number 7: raw formation energy 0.89 eV/atom. Number 8: raw formation energy 1.22 eV/atom.